Here is a relaxed structure of BPt4 from the Alexandria database. Energies are from PBE-GGA.

The total energy comes out at -30.42 eV per cell. The calculation puts the energy above the lowest structure with this stoichiometry at 187.6 meV/atom. The calculation puts the formation energy at 0.085 eV/atom.

Unit cell a=4.192 b=4.192 c=4.192 alpha=90.00 beta=90.00 gamma=90.00
Space group Pm-3m (No. 221)
Symmetry-distinct sites (fractional):
B1 0.000 0.000 0.000 [1 per cell]
Pt1 0.000 0.000 0.500 [3 per cell]
Pt2 0.500 0.500 0.500 [1 per cell]

Here is a relaxed structure of Nb4Tc5Sn from the Alexandria database. Energies are from PBE-GGA.

The total energy comes out at -98.79 eV per cell. The calculation puts the formation energy at -0.268 eV/atom.

Unit cell a=3.214 b=3.214 c=15.959 alpha=90.00 beta=90.00 gamma=90.00
Space group P4/mmm (No. 123)
Symmetry-distinct sites (fractional):
Nb1 0.000 0.000 0.101 [2 per cell]
Nb2 0.000 0.000 0.301 [2 per cell]
Tc1 0.500 0.500 0.000 [1 per cell]
Tc2 0.500 0.500 0.198 [2 per cell]
Tc3 0.500 0.500 0.394 [2 per cell]
Sn1 0.000 0.000 0.500 [1 per cell]

Here is a relaxed structure of Y5Mn from the Alexandria database. Energies are from PBE-GGA.

The total energy comes out at -81.07 eV per cell. The calculation puts the energy above the lowest structure with this stoichiometry at 0.0 meV/atom. The calculation puts the formation energy at 0.159 eV/atom.

Unit cell a=5.478 b=3.620 c=17.858 alpha=90.00 beta=90.00 gamma=90.00
Space group Amm2 (No. 38)
Symmetry-distinct sites (fractional):
Y1 0.000 0.000 0.000 [2 per cell]
Y2 0.000 0.000 0.313 [2 per cell]
Y3 0.500 0.000 0.112 [2 per cell]
Y4 0.500 0.000 0.437 [2 per cell]
Y5 0.500 0.000 0.768 [2 per cell]
Mn1 0.000 0.000 0.658 [2 per cell]